1.
Entry from Alexandria: LiInPd after structural relaxation (PBE).

Results
* crystal system: orthorhombic
* E: -3.756 eV/atom
* N(E_F): 0.67 states/eV/f.u.
* DFT formation energy: -1.42 eV/f.u.

Lattice parameters (Å, degrees): 3.5696 13.2111 4.3245 90.00 90.00 90.00
Last column: nearest neighbours and their distance in Å.
Fractional positions:
Li  0.0000  0.2435  0.2500  2 Pd 2.78, 4 Li 2.81, 4 In 2.82-2.96
Li  0.0000  0.7565  0.7500  2 Pd 2.78, 4 Li 2.81, 4 In 2.82-2.96
Li  0.5000  0.2565  0.7500  2 Pd 2.78, 4 Li 2.81, 4 In 2.82-2.96
Li  0.5000  0.7435  0.2500  2 Pd 2.78, 4 Li 2.81, 4 In 2.82-2.96
In  0.0000  0.0909  0.7500  6 Pd 2.81-2.90, 4 Li 2.82-2.96
In  0.0000  0.9091  0.2500  6 Pd 2.81-2.90, 4 Li 2.82-2.96
In  0.5000  0.4091  0.2500  6 Pd 2.81-2.90, 4 Li 2.82-2.96
In  0.5000  0.5909  0.7500  6 Pd 2.81-2.90, 4 Li 2.82-2.96
Pd  0.0000  0.4175  0.7500  2 Li 2.78, 6 In 2.81-2.90, 2 Pd 3.07
Pd  0.0000  0.5825  0.2500  2 Li 2.78, 6 In 2.81-2.90, 2 Pd 3.07
Pd  0.5000  0.0825  0.2500  2 Li 2.78, 6 In 2.81-2.90, 2 Pd 3.07
Pd  0.5000  0.9175  0.7500  2 Li 2.78, 6 In 2.81-2.90, 2 Pd 3.07


2.
Entry from Alexandria: Li2InPd3 after structural relaxation (PBE).

Results
* excess energy over the best structure of this formula in the dataset: 0 meV per atom
* crystal system: trigonal
* E: -4.227 eV/atom
* N(E_F): 1.93 states/eV/f.u.
* DFT formation energy: -3.22 eV/f.u.

Lattice parameters (Å, degrees): 4.4001 4.4001 5.4318 90.00 90.00 120.00
Last column: nearest neighbours and their distance in Å.
Fractional positions:
Li  0.3333  0.6667  0.1633  8 Pd 2.63-2.81
Li  0.6667  0.3333  0.8367  8 Pd 2.63-2.81
In  0.0000  0.0000  0.5000  8 Pd 2.72
Pd  0.0000  0.0000  0.0000  6 Li 2.69, 2 In 2.72
Pd  0.3333  0.6667  0.6798  5 Li 2.63-2.81, 3 In 2.72
Pd  0.6667  0.3333  0.3202  5 Li 2.63-2.81, 3 In 2.72